[1]
# La2RePb | Alexandria via LeMat-Bulk | meta-GGA SCAN | PBEsol geometry
data_La2RePb
_space_group_name_H-M_alt 'P 1'
_space_group_IT_number 1
_cell_length_a 4.3199
_cell_length_b 5.3479
_cell_length_c 9.0306
_cell_angle_alpha 90.00
_cell_angle_beta 90.00
_cell_angle_gamma 90.00
loop_
_space_group_symop_operation_xyz
'x,y,z'
loop_
_atom_site_label
_atom_site_type_symbol
_atom_site_fract_x
_atom_site_fract_y
_atom_site_fract_z
La1 La 0.0000 0.0000 0.2084
La2 La 0.0000 0.0000 0.7916
La3 La 0.5000 0.5000 0.2916
La4 La 0.5000 0.5000 0.7084
Re1 Re 0.0000 0.5000 0.5000
Re2 Re 0.5000 0.0000 0.0000
Pb1 Pb 0.0000 0.5000 0.0000
Pb2 Pb 0.5000 0.0000 0.5000
# density: 10.68 g/cm³
# volume: 26.08 A^3/atom
# calculated formation energy: 1.299 kcal/mol of atoms
# density of states at the Fermi level: 0.728 states/eV per atom

=====

[2]
# MnCr2Ni | Alexandria via LeMat-Bulk | meta-GGA SCAN | PBEsol geometry
data_MnCr2Ni
_space_group_name_H-M_alt 'P 1'
_space_group_IT_number 1
_cell_length_a 4.9304
_cell_length_b 7.1531
_cell_length_c 2.4306
_cell_angle_alpha 90.00
_cell_angle_beta 90.00
_cell_angle_gamma 90.00
loop_
_space_group_symop_operation_xyz
'x,y,z'
loop_
_atom_site_label
_atom_site_type_symbol
_atom_site_fract_x
_atom_site_fract_y
_atom_site_fract_z
Mn1 Mn 0.0000 0.0000 0.0000
Mn2 Mn 0.5000 0.5000 0.0000
Cr1 Cr 0.2500 0.2500 0.5000
Cr2 Cr 0.2500 0.7500 0.5000
Cr3 Cr 0.7500 0.2500 0.5000
Cr4 Cr 0.7500 0.7500 0.5000
Ni1 Ni 0.0000 0.5000 0.0000
Ni2 Ni 0.5000 0.0000 0.0000
# density: 8.43 g/cm³
# volume: 10.71 A^3/atom
# calculated formation energy: 3.991 kcal/mol of atoms
# density of states at the Fermi level: 1.050 states/eV per atom

=====

[3]
# NiPb2Br | Alexandria via LeMat-Bulk | meta-GGA SCAN | PBEsol geometry
data_NiPb2Br
_space_group_name_H-M_alt 'P 1'
_space_group_IT_number 1
_cell_length_a 7.8558
_cell_length_b 7.7379
_cell_length_c 3.2855
_cell_angle_alpha 90.00
_cell_angle_beta 107.86
_cell_angle_gamma 90.00
loop_
_space_group_symop_operation_xyz
'x,y,z'
loop_
_atom_site_label
_atom_site_type_symbol
_atom_site_fract_x
_atom_site_fract_y
_atom_site_fract_z
Ni1 Ni 0.0000 0.0000 0.0000
Ni2 Ni 0.5000 0.5000 0.0000
Pb1 Pb 0.2500 0.2500 0.5000
Pb2 Pb 0.2500 0.7500 0.5000
Pb3 Pb 0.7500 0.2500 0.5000
Pb4 Pb 0.7500 0.7500 0.5000
Br1 Br 0.0000 0.5000 0.0000
Br2 Br 0.5000 0.0000 0.0000
# formation energy (no corrections): 0.21 eV per atom
# density: 9.66 g/cm³
# volume: 23.76 A^3/atom
# density of states at the Fermi level: 0.425 states/eV per atom

=====

[4]
# SrAs2OsPd | Alexandria via LeMat-Bulk | meta-GGA SCAN | PBEsol geometry
data_SrAs2OsPd
_space_group_name_H-M_alt 'P 1'
_space_group_IT_number 1
_cell_length_a 4.6440
_cell_length_b 4.6440
_cell_length_c 5.7876
_cell_angle_alpha 90.00
_cell_angle_beta 90.00
_cell_angle_gamma 90.00
loop_
_space_group_symop_operation_xyz
'x,y,z'
loop_
_atom_site_label
_atom_site_type_symbol
_atom_site_fract_x
_atom_site_fract_y
_atom_site_fract_z
Sr1 Sr 0.0000 0.0000 0.0000
As1 As 0.0000 0.5000 0.5000
As2 As 0.5000 0.0000 0.5000
Os1 Os 0.0000 0.0000 0.5000
Pd1 Pd 0.5000 0.5000 0.0000
# density: 7.11 g/cm³
# volume: 24.96 A^3/atom
# calculated formation energy: 6.945 kcal/mol of atoms
# density of states at the Fermi level: 0.586 states/eV per atom

=====

[5]
# InHgBr | Alexandria via LeMat-Bulk | meta-GGA SCAN | PBEsol geometry
data_InHgBr
_space_group_name_H-M_alt 'P 1'
_space_group_IT_number 1
_cell_length_a 7.3058
_cell_length_b 7.3058
_cell_length_c 7.3058
_cell_angle_alpha 90.00
_cell_angle_beta 90.00
_cell_angle_gamma 90.00
loop_
_space_group_symop_operation_xyz
'x,y,z'
loop_
_atom_site_label
_atom_site_type_symbol
_atom_site_fract_x
_atom_site_fract_y
_atom_site_fract_z
In1 In 0.0000 0.0000 0.0000
In2 In 0.0000 0.5000 0.5000
In3 In 0.5000 0.0000 0.5000
In4 In 0.5000 0.5000 0.0000
Hg1 Hg 0.2500 0.2500 0.2500
Hg2 Hg 0.2500 0.7500 0.7500
Hg3 Hg 0.7500 0.2500 0.7500
Hg4 Hg 0.7500 0.7500 0.2500
Br1 Br 0.2500 0.2500 0.7500
Br2 Br 0.2500 0.7500 0.2500
Br3 Br 0.7500 0.2500 0.2500
Br4 Br 0.7500 0.7500 0.7500
# formation energy (no corrections): -0.38 eV per atom
# E above lowest polymorph: 29 meV/atom
# density: 6.73 g/cm³
# volume: 32.50 A^3/atom

=====

[6]
# PPbBr | Alexandria via LeMat-Bulk | meta-GGA SCAN | PBEsol geometry
data_PPbBr
_space_group_name_H-M_alt 'P 1'
_space_group_IT_number 1
_cell_length_a 6.9388
_cell_length_b 6.9388
_cell_length_c 6.9388
_cell_angle_alpha 90.00
_cell_angle_beta 90.00
_cell_angle_gamma 90.00
loop_
_space_group_symop_operation_xyz
'x,y,z'
loop_
_atom_site_label
_atom_site_type_symbol
_atom_site_fract_x
_atom_site_fract_y
_atom_site_fract_z
P1 P 0.0000 0.0000 0.0000
P2 P 0.0000 0.5000 0.5000
P3 P 0.5000 0.0000 0.5000
P4 P 0.5000 0.5000 0.0000
Pb1 Pb 0.0000 0.0000 0.5000
Pb2 Pb 0.0000 0.5000 0.0000
Pb3 Pb 0.5000 0.0000 0.0000
Pb4 Pb 0.5000 0.5000 0.5000
Br1 Br 0.2500 0.2500 0.2500
Br2 Br 0.2500 0.7500 0.7500
Br3 Br 0.7500 0.2500 0.7500
Br4 Br 0.7500 0.7500 0.2500
# formation energy (no corrections): 0.84 eV per atom
# density: 6.32 g/cm³
# volume: 27.84 A^3/atom
# density of states at the Fermi level: 0.883 states/eV per atom

=====

[7]
# YScMo2 | Alexandria via LeMat-Bulk | meta-GGA SCAN | PBEsol geometry
data_YScMo2
_space_group_name_H-M_alt 'P 1'
_space_group_IT_number 1
_cell_length_a 5.7712
_cell_length_b 9.4553
_cell_length_c 2.8817
_cell_angle_alpha 90.00
_cell_angle_beta 108.56
_cell_angle_gamma 90.00
loop_
_space_group_symop_operation_xyz
'x,y,z'
loop_
_atom_site_label
_atom_site_type_symbol
_atom_site_fract_x
_atom_site_fract_y
_atom_site_fract_z
Y1 Y 0.0000 0.0000 0.0000
Y2 Y 0.5000 0.5000 0.0000
Sc1 Sc 0.0000 0.5000 0.0000
Sc2 Sc 0.5000 0.0000 0.0000
Mo1 Mo 0.2500 0.2500 0.5000
Mo2 Mo 0.2500 0.7500 0.5000
Mo3 Mo 0.7500 0.2500 0.5000
Mo4 Mo 0.7500 0.7500 0.5000
# E above lowest polymorph: 397 meV/atom
# density: 7.26 g/cm³
# volume: 18.63 A^3/atom
# calculated formation energy: 11.136 kcal/mol of atoms
# density of states at the Fermi level: 1.205 states/eV per atom

=====

[8]
# Si2Pt | Alexandria via LeMat-Bulk | meta-GGA SCAN | PBEsol geometry
data_Si2Pt
_space_group_name_H-M_alt 'P 1'
_space_group_IT_number 1
_cell_length_a 8.1333
_cell_length_b 3.7984
_cell_length_c 7.1181
_cell_angle_alpha 90.00
_cell_angle_beta 122.41
_cell_angle_gamma 90.00
loop_
_space_group_symop_operation_xyz
'x,y,z'
loop_
_atom_site_label
_atom_site_type_symbol
_atom_site_fract_x
_atom_site_fract_y
_atom_site_fract_z
Si1 Si 0.0911 0.0000 0.3991
Si2 Si 0.1618 0.5000 0.0517
Si3 Si 0.3382 0.0000 0.9483
Si4 Si 0.4089 0.5000 0.6009
Si5 Si 0.5911 0.5000 0.3991
Si6 Si 0.6618 0.0000 0.0517
Si7 Si 0.8382 0.5000 0.9483
Si8 Si 0.9089 0.0000 0.6009
Pt1 Pt 0.1696 0.5000 0.7133
Pt2 Pt 0.3304 0.0000 0.2867
Pt3 Pt 0.6696 0.0000 0.7133
Pt4 Pt 0.8304 0.5000 0.2867
# formation energy (no corrections): -0.45 eV per atom
# density: 8.99 g/cm³
# volume: 15.47 A^3/atom
# density of states at the Fermi level: 0.157 states/eV per atom

=====

[9]
# CuMo2Os | Alexandria via LeMat-Bulk | meta-GGA SCAN | PBEsol geometry
data_CuMo2Os
_space_group_name_H-M_alt 'P 1'
_space_group_IT_number 1
_cell_length_a 6.1099
_cell_length_b 6.1099
_cell_length_c 6.1099
_cell_angle_alpha 90.00
_cell_angle_beta 90.00
_cell_angle_gamma 90.00
loop_
_space_group_symop_operation_xyz
'x,y,z'
loop_
_atom_site_label
_atom_site_type_symbol
_atom_site_fract_x
_atom_site_fract_y
_atom_site_fract_z
Cu1 Cu 0.0000 0.0000 0.0000
Cu2 Cu 0.0000 0.5000 0.5000
Cu3 Cu 0.5000 0.0000 0.5000
Cu4 Cu 0.5000 0.5000 0.0000
Mo1 Mo 0.2500 0.2500 0.2500
Mo2 Mo 0.2500 0.2500 0.7500
Mo3 Mo 0.2500 0.7500 0.2500
Mo4 Mo 0.2500 0.7500 0.7500
Mo5 Mo 0.7500 0.2500 0.2500
Mo6 Mo 0.7500 0.2500 0.7500
Mo7 Mo 0.7500 0.7500 0.2500
Mo8 Mo 0.7500 0.7500 0.7500
Os1 Os 0.0000 0.0000 0.5000
Os2 Os 0.0000 0.5000 0.0000
Os3 Os 0.5000 0.0000 0.0000
Os4 Os 0.5000 0.5000 0.5000
# E above lowest polymorph: 212 meV/atom
# density: 12.98 g/cm³
# volume: 14.26 A^3/atom
# calculated formation energy: 8.041 kcal/mol of atoms
# density of states at the Fermi level: 0.775 states/eV per atom

=====

[10]
# Li2MgHg | Alexandria via LeMat-Bulk | meta-GGA SCAN | PBEsol geometry
data_Li2MgHg
_space_group_name_H-M_alt 'P 1'
_space_group_IT_number 1
_cell_length_a 6.5000
_cell_length_b 6.5000
_cell_length_c 6.5000
_cell_angle_alpha 90.00
_cell_angle_beta 90.00
_cell_angle_gamma 90.00
loop_
_space_group_symop_operation_xyz
'x,y,z'
loop_
_atom_site_label
_atom_site_type_symbol
_atom_site_fract_x
_atom_site_fract_y
_atom_site_fract_z
Li1 Li 0.2500 0.2500 0.2500
Li2 Li 0.2500 0.2500 0.7500
Li3 Li 0.2500 0.7500 0.2500
Li4 Li 0.2500 0.7500 0.7500
Li5 Li 0.7500 0.2500 0.2500
Li6 Li 0.7500 0.2500 0.7500
Li7 Li 0.7500 0.7500 0.2500
Li8 Li 0.7500 0.7500 0.7500
Mg1 Mg 0.0000 0.0000 0.0000
Mg2 Mg 0.0000 0.5000 0.5000
Mg3 Mg 0.5000 0.0000 0.5000
Mg4 Mg 0.5000 0.5000 0.0000
Hg1 Hg 0.0000 0.0000 0.5000
Hg2 Hg 0.0000 0.5000 0.0000
Hg3 Hg 0.5000 0.0000 0.0000
Hg4 Hg 0.5000 0.5000 0.5000
# E above lowest polymorph: 43 meV/atom
# density: 5.78 g/cm³
# volume: 17.16 A^3/atom
# calculated formation energy: -8.618 kcal/mol of atoms
# density of states at the Fermi level: 0.316 states/eV per atom

=====

[11]
# K2TeSe | Alexandria via LeMat-Bulk | meta-GGA SCAN | PBEsol geometry
data_K2TeSe
_space_group_name_H-M_alt 'P 1'
_space_group_IT_number 1
_cell_length_a 3.8001
_cell_length_b 3.8001
_cell_length_c 30.4158
_cell_angle_alpha 90.00
_cell_angle_beta 90.00
_cell_angle_gamma 120.00
loop_
_space_group_symop_operation_xyz
'x,y,z'
loop_
_atom_site_label
_atom_site_type_symbol
_atom_site_fract_x
_atom_site_fract_y
_atom_site_fract_z
K1 K 0.0000 0.0000 0.2420
K2 K 0.0000 0.0000 0.7580
K3 K 0.3333 0.6667 0.4247
K4 K 0.3333 0.6667 0.9087
K5 K 0.6667 0.3333 0.0913
K6 K 0.6667 0.3333 0.5753
Te1 Te 0.0000 0.0000 0.0000
Te2 Te 0.3333 0.6667 0.6667
Te3 Te 0.6667 0.3333 0.3333
Se1 Se 0.0000 0.0000 0.5000
Se2 Se 0.3333 0.6667 0.1667
Se3 Se 0.6667 0.3333 0.8333
# formation energy (no corrections): -0.66 eV per atom
# E above lowest polymorph: 99 meV/atom
# density: 3.73 g/cm³
# volume: 31.70 A^3/atom
# density of states at the Fermi level: 0.484 states/eV per atom

=====

[12]
# SrYPb | Alexandria via LeMat-Bulk | meta-GGA SCAN | PBEsol geometry
data_SrYPb
_space_group_name_H-M_alt 'P 1'
_space_group_IT_number 1
_cell_length_a 7.5462
_cell_length_b 7.5462
_cell_length_c 7.5462
_cell_angle_alpha 90.00
_cell_angle_beta 90.00
_cell_angle_gamma 90.00
loop_
_space_group_symop_operation_xyz
'x,y,z'
loop_
_atom_site_label
_atom_site_type_symbol
_atom_site_fract_x
_atom_site_fract_y
_atom_site_fract_z
Sr1 Sr 0.0000 0.0000 0.0000
Sr2 Sr 0.0000 0.5000 0.5000
Sr3 Sr 0.5000 0.0000 0.5000
Sr4 Sr 0.5000 0.5000 0.0000
Y1 Y 0.0000 0.0000 0.5000
Y2 Y 0.0000 0.5000 0.0000
Y3 Y 0.5000 0.0000 0.0000
Y4 Y 0.5000 0.5000 0.5000
Pb1 Pb 0.2500 0.2500 0.2500
Pb2 Pb 0.2500 0.7500 0.7500
Pb3 Pb 0.7500 0.2500 0.7500
Pb4 Pb 0.7500 0.7500 0.2500
# density: 5.93 g/cm³
# volume: 35.81 A^3/atom
# calculated formation energy: -11.139 kcal/mol of atoms
# density of states at the Fermi level: 0.451 states/eV per atom

=====

What is the formula in the ninth record? CuMo2Os

=====

Repeat the first record exactly.
# La2RePb | Alexandria via LeMat-Bulk | meta-GGA SCAN | PBEsol geometry
data_La2RePb
_space_group_name_H-M_alt 'P 1'
_space_group_IT_number 1
_cell_length_a 4.3199
_cell_length_b 5.3479
_cell_length_c 9.0306
_cell_angle_alpha 90.00
_cell_angle_beta 90.00
_cell_angle_gamma 90.00
loop_
_space_group_symop_operation_xyz
'x,y,z'
loop_
_atom_site_label
_atom_site_type_symbol
_atom_site_fract_x
_atom_site_fract_y
_atom_site_fract_z
La1 La 0.0000 0.0000 0.2084
La2 La 0.0000 0.0000 0.7916
La3 La 0.5000 0.5000 0.2916
La4 La 0.5000 0.5000 0.7084
Re1 Re 0.0000 0.5000 0.5000
Re2 Re 0.5000 0.0000 0.0000
Pb1 Pb 0.0000 0.5000 0.0000
Pb2 Pb 0.5000 0.0000 0.5000
# density: 10.68 g/cm³
# volume: 26.08 A^3/atom
# calculated formation energy: 1.299 kcal/mol of atoms
# density of states at the Fermi level: 0.728 states/eV per atom

=====

Which value of volume does entry 4 give? 24.96 A^3/atom

=====

What is the formula in the fourth record? SrAs2OsPd